Mn2RhAuN | PBE | relaxed

Cell lengths 4.0285, 4.0285, 4.0833 Å; angles 90.00, 90.00, 90.00 degrees
Sites, in units of the cell vectors:
Mn (0.5000, 0.0000, 0.0000)
Mn (0.0000, 0.5000, 0.0000)
Rh (0.0000, 0.0000, 0.5000)
Au (0.5000, 0.5000, 0.5000)
N (0.0000, 0.0000, 0.0000)

Mn2RuAuN | PBE | relaxed

Cell lengths 4.0521, 4.0521, 3.9888 Å; angles 90.00, 90.00, 90.00 degrees
Sites, in units of the cell vectors:
Au (0.5000, 0.5000, 0.5000)
Mn (0.5000, 0.0000, 0.0000)
Mn (0.0000, 0.5000, 0.0000)
Ru (0.0000, 0.0000, 0.5000)
N (0.0000, 0.0000, 0.0000)

MnAuS2N | PBE | relaxed

ΔE to the lowest computed polymorph (kJ per mole of atoms): 0.0

Cell lengths 4.6703, 4.6703, 3.4395 Å; angles 90.00, 90.00, 90.00 degrees
Sites, in units of the cell vectors:
Au (0.5000, 0.5000, 0.5000)
S (0.0000, 0.5000, 0.0000)
S (0.5000, 0.0000, 0.0000)
Mn (0.0000, 0.0000, 0.0000)
N (0.0000, 0.0000, 0.5000)

MnAuS2N | PBE | relaxed

ΔE to the lowest computed polymorph (kJ per mole of atoms): 62.5

Cell lengths 5.0370, 5.0370, 3.7701 Å; angles 90.00, 90.00, 90.00 degrees
Sites, in units of the cell vectors:
S (0.5000, 0.0000, 0.0000)
S (0.0000, 0.5000, 0.0000)
Au (0.0000, 0.0000, 0.0000)
N (0.0000, 0.0000, 0.5000)
Mn (0.5000, 0.5000, 0.5000)

MnAuSe2N | PBE | relaxed

ΔE to the lowest computed polymorph (kJ per mole of atoms): 68.2

Cell lengths 5.2651, 5.2651, 3.8594 Å; angles 90.00, 90.00, 90.00 degrees
Sites, in units of the cell vectors:
N (0.0000, 0.0000, 0.5000)
Se (0.5000, 0.0000, 0.0000)
Se (0.0000, 0.5000, 0.0000)
Au (0.0000, 0.0000, 0.0000)
Mn (0.5000, 0.5000, 0.5000)

MnAuSe2N | PBE | relaxed

ΔE to the lowest computed polymorph (kJ per mole of atoms): 0.0

Cell lengths 4.9896, 4.9896, 3.4529 Å; angles 90.00, 90.00, 90.00 degrees
Sites, in units of the cell vectors:
Se (0.0000, 0.5000, 0.0000)
Se (0.5000, 0.0000, 0.0000)
Mn (0.0000, 0.0000, 0.0000)
N (0.0000, 0.0000, 0.5000)
Au (0.5000, 0.5000, 0.5000)

Summary of DFT total energy in eV/atom
-7.60, -7.93, -5.35, -4.70, -4.52, -5.22
(order as listed above)
Summary of energy relative to the elements, uncorrected in eV/atom
-0.137, -0.085, 0.460, 1.108, 1.031, 0.325
(order as listed above)